# PRuWS2

A geometry-optimized PRuWS2 structure (GGA-PBE, Alexandria via LeMat-Bulk).

Output
uncorrected formation energy: 4.635 eV per formula unit

Lattice parameters (Å, degrees): 4.6076 4.6076 4.7924 90.00 90.00 90.00
Space group P4/mmm (No. 123)
Inequivalent atoms, fractional coordinates:
P 0.0000 0.0000 0.0000 x1
Ru 0.5000 0.5000 0.0000 x1
W 0.0000 0.0000 0.5000 x1
S 0.0000 0.5000 0.5000 x2

---

# Ti3HgO

A geometry-optimized Ti3HgO structure (GGA-PBE, Alexandria via LeMat-Bulk).

Output
uncorrected formation energy: 7.005 eV per formula unit

Lattice parameters (Å, degrees): 5.0443 5.0443 5.0443 90.00 90.00 90.00
Space group Pm-3m (No. 221)
Inequivalent atoms, fractional coordinates:
Ti 0.0000 0.0000 0.5000 x3
Hg 0.0000 0.0000 0.0000 x1
O 0.5000 0.5000 0.5000 x1

---

# NiPSe2

A geometry-optimized NiPSe2 structure (GGA-PBE, Alexandria via LeMat-Bulk).

Output
uncorrected formation energy: 0.419 eV per formula unit

Lattice parameters (Å, degrees): 5.1334 5.1334 5.1157 90.00 90.00 90.00
Space group I4/mmm (No. 139)
Inequivalent atoms, fractional coordinates:
Ni 0.0000 0.0000 0.0000 x2
P 0.0000 0.0000 0.5000 x2
Se 0.0000 0.5000 0.0000 x4

---

# Ca6P2HN

A geometry-optimized Ca6P2HN structure (GGA-PBE, Alexandria via LeMat-Bulk).

Output
total energy: -85.77 eV per cell

Lattice parameters (Å, degrees): 6.4494 7.5496 11.0906 90.00 124.44 90.00
Space group P2_1/c (No. 14)
Inequivalent atoms, fractional coordinates:
Ca 0.1320 0.0331 0.2463 x4
Ca 0.2141 0.7069 0.0542 x4
Ca 0.3668 0.1621 0.0574 x4
P 0.2951 0.1082 0.7449 x4
H 0.5000 0.0000 0.5000 x2
N 0.0000 0.0000 0.0000 x2

---

# Tm4Sn3Pd

A geometry-optimized Tm4Sn3Pd structure (GGA-PBE, Alexandria via LeMat-Bulk).

Output
total energy: -40.70 eV per cell

Lattice parameters (Å, degrees): 4.2395 4.3350 11.1454 90.00 90.00 90.00
Space group Pmm2 (No. 25)
Inequivalent atoms, fractional coordinates:
Tm 0.0000 0.0000 0.0000 x1
Tm 0.0000 0.5000 0.2598 x1
Tm 0.5000 0.0000 0.4699 x1
Tm 0.5000 0.5000 0.7648 x1
Sn 0.0000 0.0000 0.7219 x1
Sn 0.0000 0.5000 0.5355 x1
Sn 0.5000 0.5000 0.0420 x1
Pd 0.5000 0.0000 0.2114 x1

---

# Pu3Hg7

A geometry-optimized Pu3Hg7 structure (GGA-PBE, Alexandria via LeMat-Bulk).

Output
total energy: -88.72 eV per cell

Lattice parameters (Å, degrees): 17.0647 3.4847 8.3628 90.00 103.01 90.00
Space group C2/m (No. 12)
Inequivalent atoms, fractional coordinates:
Pu 0.0000 0.0000 0.0000 x2
Pu 0.2227 0.0000 0.5594 x4
Hg 0.0000 0.0000 0.5000 x2
Hg 0.0875 0.5000 0.3080 x4
Hg 0.1195 0.5000 0.7927 x4
Hg 0.1967 0.0000 0.1132 x4

---

# Pm3RuRh2

A geometry-optimized Pm3RuRh2 structure (GGA-PBE, Alexandria via LeMat-Bulk).

Output
total energy: -165.22 eV per cell

Lattice parameters (Å, degrees): 4.9807 14.9317 6.9716 90.00 90.00 90.00
Space group Cmmm (No. 65)
Inequivalent atoms, fractional coordinates:
Pm 0.0000 0.0000 0.2489 x4
Pm 0.0000 0.3326 0.2485 x8
Ru 0.0000 0.1668 0.0000 x4
Rh 0.0000 0.1657 0.5000 x4
Rh 0.0000 0.5000 0.0000 x2
Rh 0.0000 0.5000 0.5000 x2

---

# Cs2InCu3F12

A geometry-optimized Cs2InCu3F12 structure (GGA-PBE, Alexandria via LeMat-Bulk).

Output
uncorrected formation energy: -37.374 eV per formula unit

Lattice parameters (Å, degrees): 7.4098 7.4098 18.6711 90.00 90.00 120.00
Space group R-3m (No. 166, hexagonal axes)
Inequivalent atoms, fractional coordinates:
Cs 0.0000 0.0000 0.1145 x6
In 0.0000 0.0000 0.5000 x3
Cu 0.0000 0.5000 0.0000 x9
F 0.0526 0.5263 0.1076 x18
F 0.0761 0.5380 0.3467 x18

---

The records above give, respectively, volume values of 20.35 25.67 16.85 22.27 25.60 24.23 21.60 16.44 Å³ per atom.